[1]
Density functional theory data (PBE) for an optimized crystal structure of GaBSe2.

ΔE_f (raw) (eV per atom): -0.0245
DOS at the Fermi energy (states/eV/atom): 0.0000
Distance to the lowest polymorph of the same formula (meV/atom): 197
Magnetization (μB per formula unit): 0.00
Space-group type: I-42d, No. 122

a = 6.501 Å, b = 6.501 Å, c = 7.801 Å
α = 90.00°, β = 90.00°, γ = 90.00°
Atoms (fractional coordinates):
Ga: 0.000 0.000 0.000
Ga: 0.000 0.500 0.250
Ga: 0.500 0.000 0.750
Ga: 0.500 0.500 0.500
B: 0.000 0.000 0.500
B: 0.000 0.500 0.750
B: 0.500 0.000 0.250
B: 0.500 0.500 0.000
Se: 0.141 0.250 0.625
Se: 0.250 0.641 0.875
Se: 0.250 0.859 0.375
Se: 0.359 0.250 0.125
Se: 0.641 0.750 0.125
Se: 0.750 0.141 0.375
Se: 0.750 0.359 0.875
Se: 0.859 0.750 0.625

[2]
Density functional theory data (PBE) for an optimized crystal structure of Li3Pu2NpTe6.

ΔE_f (raw) (eV per atom): -0.9473
DOS at the Fermi energy (states/eV/atom): 3.0497
Magnetization (μB per formula unit): 14.00
Space-group type: C2/m, No. 12

a = 7.621 Å, b = 7.621 Å, c = 7.432 Å
α = 99.85°, β = 99.85°, γ = 120.00°
Atoms (fractional coordinates):
Li: 0.000 0.000 0.000
Li: 0.333 0.667 0.000
Li: 0.667 0.333 0.000
Pu: 0.167 0.833 0.500
Pu: 0.833 0.167 0.500
Np: 0.500 0.500 0.500
Te: 0.084 0.414 0.243
Te: 0.255 0.255 0.756
Te: 0.414 0.084 0.243
Te: 0.586 0.916 0.757
Te: 0.745 0.745 0.244
Te: 0.916 0.586 0.757

[3]
Density functional theory data (PBE) for an optimized crystal structure of ZrRe2Sb.

ΔE_f (raw) (eV per atom): 0.1101
DOS at the Fermi energy (states/eV/atom): 0.5746
Magnetization (μB per formula unit): 0.00
Space-group type: P4/mmm, No. 123

a = 4.535 Å, b = 4.535 Å, c = 3.425 Å
α = 90.00°, β = 90.00°, γ = 90.00°
Atoms (fractional coordinates):
Zr: 0.000 0.000 0.000
Re: 0.000 0.500 0.500
Re: 0.500 0.000 0.500
Sb: 0.500 0.500 0.000

[4]
Density functional theory data (PBE) for an optimized crystal structure of Cd6In2Ga.

DOS at the Fermi energy (states/eV/atom): 0.3083
Distance to the lowest polymorph of the same formula (meV/atom): 0
Energy of formation (kJ/mol of formula units): 32
Magnetization (μB per formula unit): 0.00
Space-group type: C2/m, No. 12

a = 8.473 Å, b = 8.473 Å, c = 3.217 Å
α = 100.08°, β = 100.08°, γ = 69.87°
Atoms (fractional coordinates):
Cd: 0.161 0.472 0.316
Cd: 0.228 0.772 0.000
Cd: 0.472 0.161 0.316
Cd: 0.528 0.839 0.684
Cd: 0.772 0.228 0.000
Cd: 0.839 0.528 0.684
In: 0.131 0.131 0.627
In: 0.869 0.869 0.373
Ga: 0.500 0.500 0.500

How do the records compare in final energy? In the order shown, they have -4.193 -6.464 -9.282 -1.518 eV per atom.